The following is a DFT calculation (GGA+U) of a geometry-optimized CsPaMoO6 structure.

Cell and atoms, written as CIF:
```
data_CsPaMoO6
_space_group_name_H-M_alt 'I m m a'
_space_group_IT_number 74
_space_group_name_Hall '-I 2b 2'
_cell_length_a 7.5344
_cell_length_b 7.9747
_cell_length_c 11.0248
_cell_angle_alpha 90.00
_cell_angle_beta 90.00
_cell_angle_gamma 90.00
loop_
_atom_site_label
_atom_site_fract_x
_atom_site_fract_y
_atom_site_fract_z
_atom_site_occupancy
Cs1 0.0000 0.2500 0.1184 1
Pa1 0.0000 0.0000 0.5000 1
Mo1 0.2500 0.2500 0.7500 1
O1 0.0000 0.2500 0.4251 1
O2 0.0000 0.2500 0.7954 1
O3 0.2037 0.0777 0.6304 1
```

Results
E_tot	-7.704	eV per atom
crystal system	orthorhombic